DFT (PBE) results for Ca3EuHg after structural relaxation.

a b c (Å): 5.9585 5.9585 5.9585
angles (deg): 90.00 90.00 90.00
Last column: nearest neighbours and their distance in Å.
Element x y z (fractional)
1 Ca 0.0000 0.0000 0.5000  2 Hg 2.98
2 Ca 0.0000 0.5000 0.0000  2 Hg 2.98
3 Ca 0.5000 0.0000 0.0000  2 Hg 2.98
4 Eu 0.5000 0.5000 0.5000  12 Ca 4.21
5 Hg 0.0000 0.0000 0.0000  6 Ca 2.98

Energy of formation from the pure elements   -108 meV/atom
DOS(E_F)   6.55 states/eV/cell
Total magnetization   1.52 μB per atom
Final energy   -3.424 eV per atom